Record 1
An optimized crystal structure of Mo2As2Pd, computed with GGA-PBE.

The structure in POSCAR format:
```
Mo2As2Pd
1.0
7.152 0.000 0.000
0.000 7.152 0.000
0.000 0.000 3.106
Mo As Pd
4 4 2
Cartesian
1.036 2.540 0.000 Mo
2.540 6.116 0.000 Mo
4.612 1.036 0.000 Mo
6.116 4.612 0.000 Mo
1.075 4.651 1.553 As
2.501 1.075 1.553 As
4.651 6.077 1.553 As
6.077 2.501 1.553 As
0.000 0.000 1.553 Pd
3.576 3.576 1.553 Pd
```

Output
E above lowest polymorph, eV per formula unit: 0.00
D(E_F), states/eV/f.u.: 4.0

Record 2
An optimized crystal structure of SrZr2Zn, computed with GGA-PBE.

The structure in POSCAR format:
```
SrZr2Zn
1.0
-1.682 2.622 5.690
1.682 -2.622 5.690
1.682 2.622 -5.690
Sr Zr Zn
1 2 1
Cartesian
0.000 0.000 0.000 Sr
1.682 0.000 3.274 Zr
0.000 2.622 2.416 Zr
0.000 0.000 5.690 Zn
```

Output
D(E_F), states/eV/f.u.: 4.0

Record 3
An optimized crystal structure of LaPmCdGa, computed with GGA-PBE.

The structure in POSCAR format:
```
LaPmCdGa
1.0
0.000 3.808 3.808
3.808 0.000 3.808
3.808 3.808 0.000
La Pm Cd Ga
1 1 1 1
Cartesian
0.000 0.000 0.000 La
3.808 3.808 3.808 Pm
5.712 5.712 5.712 Cd
1.904 1.904 1.904 Ga
```

Output
E above lowest polymorph, eV per formula unit: 0.07
D(E_F), states/eV/f.u.: 4.9

Record 4
An optimized crystal structure of Nb2VRuC, computed with GGA-PBE.

The structure in POSCAR format:
```
Nb2VRuC
1.0
4.687 0.000 0.000
0.000 4.687 0.000
0.000 0.000 3.743
Nb V Ru C
2 1 1 1
Cartesian
0.000 2.343 0.000 Nb
2.343 0.000 0.000 Nb
0.000 0.000 0.000 V
2.343 2.343 1.872 Ru
0.000 0.000 1.872 C
```

Output
D(E_F), states/eV/f.u.: 5.9

Table of energy relative to the elements (meV/atom), in record order: -24, 106, -435, 1341
Table of magnetization (μB per formula unit), in record order: 0.00, 0.00, 0.00, 0.00